No. 1
This record from Alexandria via LeMat-Bulk describes a relaxed structure of NpCo4P4. The functional is PBE.

Summary:
- Formation energy from the elements: -482 meV/atom
- SG: P4_2/nmc, No. 137
- Mass density: 8464 kg/m³
- Total DFT energy (no corrections): -7.483 eV/atom

abc: 5.669 5.669 7.284
angles: 90.00 90.00 90.00
Atoms (fractional coordinates):
1 Np 0.250 0.750 0.250
2 Np 0.750 0.250 0.750
3 Co 0.027 0.250 0.135
4 Co 0.250 0.027 0.635
5 Co 0.250 0.473 0.635
6 Co 0.473 0.250 0.135
7 Co 0.527 0.750 0.865
8 Co 0.750 0.527 0.365
9 Co 0.750 0.973 0.365
10 Co 0.973 0.750 0.865
11 P 0.032 0.250 0.435
12 P 0.250 0.032 0.935
13 P 0.250 0.468 0.935
14 P 0.468 0.250 0.435
15 P 0.532 0.750 0.565
16 P 0.750 0.532 0.065
17 P 0.750 0.968 0.065
18 P 0.968 0.750 0.565


No. 2
This record from Alexandria via LeMat-Bulk describes a relaxed structure of NpCoP2. The functional is PBE.

Summary:
- Formation energy from the elements: -712 meV/atom
- Energy above the lowest structure with this stoichiometry: 22 meV per atom
- SG: Pnma, No. 62
- Mass density: 9181 kg/m³
- Total DFT energy (no corrections): -8.429 eV/atom

abc: 6.865 3.901 9.669
angles: 90.00 90.00 90.00
Atoms (fractional coordinates):
1 Np 0.214 0.250 0.143
2 Np 0.286 0.750 0.643
3 Np 0.714 0.250 0.357
4 Np 0.786 0.750 0.857
5 Co 0.090 0.750 0.359
6 Co 0.410 0.250 0.859
7 Co 0.590 0.750 0.141
8 Co 0.910 0.250 0.641
9 P 0.087 0.250 0.832
10 P 0.122 0.250 0.464
11 P 0.378 0.750 0.964
12 P 0.413 0.750 0.332
13 P 0.587 0.250 0.668
14 P 0.622 0.250 0.036
15 P 0.878 0.750 0.536
16 P 0.913 0.750 0.168


No. 3
This record from Alexandria via LeMat-Bulk describes a relaxed structure of Np2Co3P4Pt. The functional is PBE.

Summary:
- Formation energy from the elements: -739 meV/atom
- SG: P-4m2, No. 115
- Mass density: 11024 kg/m³
- Total DFT energy (no corrections): -8.227 eV/atom

abc: 3.975 3.975 9.246
angles: 90.00 90.00 90.00
Atoms (fractional coordinates):
1 Np 0.000 0.500 0.238
2 Np 0.500 0.000 0.762
3 Co 0.000 0.500 0.892
4 Co 0.500 0.000 0.108
5 Co 0.500 0.500 0.500
6 P 0.000 0.000 0.000
7 P 0.000 0.500 0.651
8 P 0.500 0.000 0.349
9 P 0.500 0.500 0.000
10 Pt 0.000 0.000 0.500


The highest formation energy from the elements belongs to which entry? NpCo4P4


The lowest formation energy from the elements belongs to which entry? Np2Co3P4Pt


Which of these has the lowest formation energy from the elements? Np2Co3P4Pt


formation energy from the elements of number 3 (Np2Co3P4Pt)? -739 meV/atom